# NaTlInNi2

A relaxed NaTlInNi2 crystal (PBE, Alexandria).

Lattice parameters (Å, degrees): 4.877 4.877 5.316 90.00 90.00 90.00
Space group P4/mmm (No. 123)
Unique sites:
Na: 0.000 0.000 0.000 x1
Tl: 0.000 0.000 0.500 x1
In: 0.500 0.500 0.000 x1
Ni: 0.000 0.500 0.500 x2

Results
total energy = -2.7901 eV/atom
spin magnetization = 0.000 μB/atom
ΔH_f (0 K) = 0.807 eV/atom
crystal system = tetragonal